# 1
! Cs2BPbBr6 GGA-PBE relaxed; values from VASP
&SYSTEM
  ibrav = 0, nat = 10, ntyp = 4
/
ATOMIC_SPECIES
Pb 207.20 Pb.upf
Cs 132.91 Cs.upf
B 10.81 B.upf
Br 79.90 Br.upf
CELL_PARAMETERS angstrom
8.0459 0.0000 0.0000
0.0000 8.0459 0.0000
4.0230 4.0230 5.2671
ATOMIC_POSITIONS crystal
Pb 0.0000 0.0000 0.0000
Cs 0.7500 0.2500 0.5000
Cs 0.2500 0.7500 0.5000
B 0.5000 0.5000 0.0000
Br 0.2890 0.2890 0.4220
Br 0.7110 0.7110 0.5780
Br 0.2640 0.2640 0.0000
Br 0.7360 0.7360 0.0000
Br 0.7360 0.2640 0.0000
Br 0.2640 0.7360 0.0000
! formation energy from raw total energies = -0.7760 eV per atom
! DOS(E_F) = 2.82 states/eV/cell


# 2
! TlAg3S GGA-PBE relaxed; values from VASP
&SYSTEM
  ibrav = 0, nat = 5, ntyp = 3
/
ATOMIC_SPECIES
Tl 204.38 Tl.upf
S 32.06 S.upf
Ag 107.87 Ag.upf
CELL_PARAMETERS angstrom
5.2682 0.0000 0.0000
0.0000 5.2682 0.0000
0.0000 0.0000 5.2682
ATOMIC_POSITIONS crystal
Tl 0.0000 0.0000 0.0000
S 0.5000 0.5000 0.5000
Ag 0.0000 0.5000 0.0000
Ag 0.0000 0.0000 0.5000
Ag 0.5000 0.0000 0.0000
! energy above the most stable polymorph in this dataset = 752 meV per atom
! formation energy from raw total energies = 0.9714 eV per atom
! DOS(E_F) = 3.47 states/eV/cell


# 3
! Sm5Dy3Ho GGA-PBE relaxed; values from VASP
&SYSTEM
  ibrav = 0, nat = 18, ntyp = 3
/
ATOMIC_SPECIES
Sm 150.36 Sm.upf
Dy 162.50 Dy.upf
Ho 164.93 Ho.upf
CELL_PARAMETERS angstrom
3.3649 11.4644 1.9365
-3.3649 11.4644 1.9365
0.0000 7.2546 8.9702
ATOMIC_POSITIONS crystal
Sm 0.3139 0.6861 0.7500
Sm 0.0799 0.2643 0.0041
Sm 0.3909 0.3891 0.1701
Sm 0.9201 0.7357 0.9959
Sm 0.6109 0.6091 0.3299
Sm 0.6861 0.3139 0.2500
Sm 0.2643 0.0799 0.5041
Sm 0.7357 0.9201 0.4959
Sm 0.3891 0.3909 0.6701
Sm 0.6091 0.6109 0.8299
Dy 0.0000 0.0000 0.0000
Dy 0.8389 0.6385 0.3933
Dy 0.0000 0.0000 0.5000
Dy 0.1611 0.3615 0.6067
Dy 0.6385 0.8389 0.8933
Dy 0.3615 0.1611 0.1067
Ho 0.7633 0.2367 0.7500
Ho 0.2367 0.7633 0.2500
! energy above the most stable polymorph in this dataset = 0 meV per atom
! calculated formation energy = 0.174 eV/atom
! DOS(E_F) = 25.67 states/eV/cell


# 4
! PrDyHgPd GGA-PBE relaxed; values from VASP
&SYSTEM
  ibrav = 0, nat = 4, ntyp = 4
/
ATOMIC_SPECIES
Pr 140.91 Pr.upf
Hg 200.59 Hg.upf
Pd 106.42 Pd.upf
Dy 162.50 Dy.upf
CELL_PARAMETERS angstrom
-3.4414 -3.1881 2.2892
1.6769 -3.9375 2.9887
-0.6812 0.1759 5.1723
ATOMIC_POSITIONS crystal
Pr 0.0000 0.0000 0.0000
Hg 0.7500 0.7500 0.7500
Pd 0.2500 0.2500 0.2500
Dy 0.5000 0.5000 0.5000
! calculated formation energy = -0.585 eV/atom
! DOS(E_F) = 3.38 states/eV/cell


# 5
! Dy4Y4Tm GGA-PBE relaxed; values from VASP
&SYSTEM
  ibrav = 0, nat = 9, ntyp = 3
/
ATOMIC_SPECIES
Dy 162.50 Dy.upf
Y 88.91 Y.upf
Tm 168.93 Tm.upf
CELL_PARAMETERS angstrom
0.8358 -5.6950 2.1685
5.1115 -7.8484 -5.0995
8.1181 -4.6586 -0.7975
ATOMIC_POSITIONS crystal
Dy 0.6085 0.4435 0.3367
Dy 0.9462 0.7781 0.3318
Dy 0.3915 0.5565 0.6633
Dy 0.0538 0.2219 0.6682
Y 0.2787 0.1112 0.3323
Y 0.7213 0.8888 0.6677
Y 0.8355 0.3346 0.9976
Y 0.1645 0.6654 0.0024
Tm 0.5000 0.0000 0.0000
! calculated formation energy = 0.022 eV/atom
! DOS(E_F) = 12.63 states/eV/cell